## ScFeSb2Te (PBE)

Data for crystalline ScFeSb2Te at its relaxed geometry.

Lattice parameters (Å, degrees): 5.4456 5.4456 5.4525 90.00 90.00 90.00
Fractional coordinates of all 5 atoms:
Sc1 0.0000 0.0000 0.0000
Fe1 0.5000 0.5000 0.5000
Sb1 0.0000 0.5000 0.0000
Sb2 0.5000 0.0000 0.0000
Te1 0.0000 0.0000 0.5000

Computed properties:
Energy above the most stable polymorph in this dataset ... 226 kJ/mol of formula units
Raw formation energy ... 0.670 eV/atom